(1)
VASP calculation (SCAN) on a crystal of TlCuAsOs2 relaxed with PBEsol.

abc: 4.5672 4.5672 4.5524
angles: 90.00 90.00 90.00
Closest atoms and distances in Å follow each position.
Space group P4/mmm (No. 123)
Symmetry-distinct sites (fractional):
1 Tl 0.0000 0.0000 0.0000 [1 per cell]  2 Cu 2.28
2 Cu 0.0000 0.0000 0.5000 [1 per cell]  2 Tl 2.28, 4 Os 2.28
3 As 0.5000 0.5000 0.0000 [1 per cell]  8 Os 3.22, 4 Tl 3.23
4 Os 0.0000 0.5000 0.5000 [2 per cell]  2 Cu 2.28

Formation enthalpy at 0 K   1.9209 eV/atom

=====

(2)
VASP calculation (SCAN) on a crystal of Cu3AsP relaxed with PBEsol.

abc: 4.4304 4.4304 4.4304
angles: 90.00 90.00 90.00
Closest atoms and distances in Å follow each position.
Space group Pm-3m (No. 221)
Symmetry-distinct sites (fractional):
1 Cu 0.0000 0.0000 0.5000 [3 per cell]  2 As 2.22
2 As 0.0000 0.0000 0.0000 [1 per cell]  6 Cu 2.22
3 P 0.5000 0.5000 0.5000 [1 per cell]  12 Cu 3.13

Formation enthalpy at 0 K   0.7932 eV/atom

=====

(3)
VASP calculation (SCAN) on a crystal of Cu2AsP relaxed with PBEsol.

abc: 2.5778 3.5360 6.4137
angles: 90.00 90.00 90.00
Closest atoms and distances in Å follow each position.
Space group Pmm2 (No. 25)
Symmetry-distinct sites (fractional):
1 Cu 0.0000 0.0000 0.0000 [1 per cell]  1 P 2.47, 4 As 2.57, 6 Cu 2.58-2.61
2 Cu 0.5000 0.5000 0.2210 [1 per cell]  4 P 2.43, 6 Cu 2.58-2.61
3 As 0.5000 0.5000 0.7884 [1 per cell]  5 Cu 2.57-2.77, 2 As 2.58
4 P 0.0000 0.0000 0.3849 [1 per cell]  5 Cu 2.43-2.47, 2 P 2.58

Formation enthalpy at 0 K   0.1493 eV/atom
Energy relative to the lowest polymorph listed for this composition   0.000 eV/atom

=====

(4)
VASP calculation (SCAN) on a crystal of Cu2AsP relaxed with PBEsol.

abc: 6.1017 6.1017 6.1017
angles: 90.00 90.00 90.00
Closest atoms and distances in Å follow each position.
Space group F-43m (No. 216)
Symmetry-distinct sites (fractional):
1 Cu 0.0000 0.0000 0.0000 [4 per cell]  4 As 2.64, 4 Cu 2.64
2 Cu 0.2500 0.2500 0.2500 [4 per cell]  4 P 2.64, 4 Cu 2.64
3 As 0.2500 0.2500 0.7500 [4 per cell]  4 Cu 2.64, 4 P 2.64
4 P 0.0000 0.0000 0.5000 [4 per cell]  4 As 2.64, 4 Cu 2.64

Formation enthalpy at 0 K   0.5174 eV/atom
Energy relative to the lowest polymorph listed for this composition   0.368 eV/atom

=====

(5)
VASP calculation (SCAN) on a crystal of Cu2AsP relaxed with PBEsol.

abc: 3.7720 4.1231 7.1123
angles: 90.00 90.00 90.00
Closest atoms and distances in Å follow each position.
Space group Immm (No. 71)
Symmetry-distinct sites (fractional):
1 Cu 0.0000 0.0000 0.2446 [4 per cell]  4 P 2.57-2.75, 4 As 2.62-2.70, 4 Cu 2.80
2 As 0.0000 0.5000 0.0000 [2 per cell]  8 Cu 2.62-2.70, 4 P 2.79
3 P 0.0000 0.5000 0.5000 [2 per cell]  8 Cu 2.57-2.75, 4 As 2.79

Formation enthalpy at 0 K   0.3348 eV/atom
Energy relative to the lowest polymorph listed for this composition   0.185 eV/atom

=====

(6)
VASP calculation (SCAN) on a crystal of CuAs2Pb relaxed with PBEsol.

abc: 5.5659 7.5591 3.8520
angles: 90.00 90.00 90.00
Closest atoms and distances in Å follow each position.
Space group Cmmm (No. 65)
Symmetry-distinct sites (fractional):
1 Cu 0.0000 0.0000 0.0000 [2 per cell]  2 Pb 2.78, 8 As 3.04
2 As 0.2500 0.2500 0.5000 [4 per cell]  2 As 2.78, 4 Pb 3.04, 4 Cu 3.04
3 Pb 0.0000 0.5000 0.0000 [2 per cell]  2 Cu 2.78, 8 As 3.04

Formation enthalpy at 0 K   0.4579 eV/atom

=====

(7)
VASP calculation (SCAN) on a crystal of CuAs2Pb relaxed with PBEsol.

abc: 4.2946 3.7545 5.4320
angles: 90.00 109.93 90.00
Closest atoms and distances in Å follow each position.
Space group P2/m (No. 10)
Symmetry-distinct sites (fractional):
1 Cu 0.0000 0.0000 0.0000 [1 per cell]  4 As 2.45
2 As 0.2254 0.5000 0.8256 [2 per cell]  2 Cu 2.45, 1 As 2.47
3 Pb 0.5000 0.0000 0.5000 [1 per cell]  2 Cu 2.83, 4 As 3.08

Formation enthalpy at 0 K   0.0856 eV/atom

=====

(8)
VASP calculation (SCAN) on a crystal of CuAs2Pb relaxed with PBEsol.

abc: 3.0937 5.3244 9.6133
angles: 90.00 90.00 90.00
Closest atoms and distances in Å follow each position.
Space group Immm (No. 71)
Symmetry-distinct sites (fractional):
1 Cu 0.0000 0.0000 0.0000 [2 per cell]  4 As 2.46
2 As 0.0000 0.5000 0.3012 [4 per cell]  2 Cu 2.46
3 Pb 0.0000 0.0000 0.5000 [2 per cell]  4 Cu 3.08, 2 Pb 3.09, 8 As 3.28

Formation enthalpy at 0 K   0.2792 eV/atom

=====

(9)
VASP calculation (SCAN) on a crystal of Cu2AsPb relaxed with PBEsol.

abc: 3.1290 3.1290 7.2442
angles: 90.00 90.00 90.00
Closest atoms and distances in Å follow each position.
Space group P4mm (No. 99)
Symmetry-distinct sites (fractional):
1 Cu 0.0000 0.0000 0.0000 [1 per cell]  4 Cu 2.53, 4 As 2.56
2 Cu 0.5000 0.5000 0.1691 [1 per cell]  1 As 2.51, 4 Cu 2.53
3 As 0.5000 0.5000 0.8220 [1 per cell]  5 Cu 2.51-2.56
4 Pb 0.0000 0.0000 0.4364 [1 per cell]  5 Cu 2.94-3.16, 4 Pb 3.13

Formation enthalpy at 0 K   0.1809 eV/atom

=====

(10)
VASP calculation (SCAN) on a crystal of Cu2As2Pb relaxed with PBEsol.

abc: 4.2599 4.2599 10.0734
angles: 90.00 90.00 90.00
Closest atoms and distances in Å follow each position.
Space group I4/mmm (No. 139)
Symmetry-distinct sites (fractional):
1 Cu 0.0000 0.5000 0.2500 [4 per cell]  4 As 2.47
2 As 0.0000 0.0000 0.1265 [4 per cell]  4 Cu 2.47, 1 As 2.55
3 Pb 0.0000 0.0000 0.5000 [2 per cell]  8 As 3.27, 8 Cu 3.30

Formation enthalpy at 0 K   0.0708 eV/atom
Energy relative to the lowest polymorph listed for this composition   0.000 eV/atom

=====

(11)
VASP calculation (SCAN) on a crystal of CuAsPt2Pb relaxed with PBEsol.

abc: 4.7346 4.7346 4.4493
angles: 90.00 90.00 90.00
Closest atoms and distances in Å follow each position.
Space group P4/mmm (No. 123)
Symmetry-distinct sites (fractional):
1 Cu 0.0000 0.0000 0.0000 [1 per cell]  2 As 2.22
2 As 0.0000 0.0000 0.5000 [1 per cell]  2 Cu 2.22, 4 Pt 2.37
3 Pt 0.0000 0.5000 0.5000 [2 per cell]  2 As 2.37
4 Pb 0.5000 0.5000 0.0000 [1 per cell]  8 Pt 3.25, 4 Cu 3.35

Formation enthalpy at 0 K   0.1498 eV/atom

=====

(12)
VASP calculation (SCAN) on a crystal of CuAsPbS3 relaxed with PBEsol.

abc: 7.5735 7.9606 8.6752
angles: 90.00 90.00 90.00
Closest atoms and distances in Å follow each position.
Space group Pmn2_1 (No. 31)
Symmetry-distinct sites (fractional):
1 Cu 0.2403 0.2214 0.0000 [4 per cell]  4 S 2.23-2.32
2 As 0.0000 0.0034 0.7312 [2 per cell]  3 S 2.27-2.29
3 As 0.0000 0.5652 0.1456 [2 per cell]  3 S 2.30-2.31
4 Pb 0.0000 0.0609 0.2618 [2 per cell]  7 S 2.86-3.19, 2 Cu 3.18
5 Pb 0.0000 0.4195 0.5657 [2 per cell]  4 S 2.82-2.95
6 S 0.0000 0.2552 0.8541 [2 per cell]  2 Cu 2.23, 1 As 2.27
7 S 0.0000 0.7218 0.3697 [2 per cell]  1 As 2.31, 2 Cu 2.31
8 S 0.2262 0.0599 0.5633 [4 per cell]  1 As 2.29, 1 Cu 2.32
9 S 0.2304 0.3924 0.2128 [4 per cell]  1 Cu 2.29, 1 As 2.30

Uncorrected formation energy   -0.360 eV/atom

=====

Short version: magnetic moment = 2.2; 0.0; 0.0; 0.0; 0.0; 0.0; 0.0; 0.0; 0.0; 0.0; 0.0; 0.0 μB/f.u., in the order given.